Density functional theory data (PBE) for a geometry-optimized Gd2ScCu4Ge4 structure.

Cell and atoms, written as POSCAR:
```
Gd2ScCu4Ge4
1.0
-2.1061 3.2774 6.9571
2.1061 -3.2774 6.9571
2.1061 3.2774 -6.9571
Gd Sc Cu Ge
2 1 4 4
Direct
0.1301 0.1301 0.0000 Gd
0.8699 0.8699 0.0000 Gd
0.5000 0.0000 0.5000 Sc
0.1417 0.3313 0.8104 Cu
0.4791 0.6687 0.8104 Cu
0.5209 0.3313 0.1896 Cu
0.8583 0.6687 0.1896 Cu
0.1996 0.5000 0.6996 Ge
0.2865 0.7865 0.5000 Ge
0.7135 0.2135 0.5000 Ge
0.8004 0.5000 0.3004 Ge
```

**Symmetry**: Immm

Density functional theory data (PBE) for a geometry-optimized TmAlAsO structure.

Cell and atoms, written as POSCAR:
```
TmAlAsO
1.0
4.0558 0.0000 0.0000
0.0000 4.0558 0.0000
0.0000 0.0000 9.6544
Tm Al As O
2 2 2 2
Direct
0.2500 0.7500 0.0000 Tm
0.7500 0.2500 0.0000 Tm
0.2500 0.2500 0.4458 Al
0.7500 0.7500 0.5542 Al
0.2500 0.2500 0.1975 As
0.7500 0.7500 0.8025 As
0.2500 0.7500 0.5000 O
0.7500 0.2500 0.5000 O
```

**Symmetry**: P4/nmm

Density functional theory data (PBE) for a geometry-optimized LiGdHo structure.

Cell and atoms, written as POSCAR:
```
LiGdHo
1.0
0.0000 3.5652 3.5652
3.5652 0.0000 3.5652
3.5652 3.5652 0.0000
Li Gd Ho
1 1 1
Direct
0.0000 0.0000 0.0000 Li
0.7500 0.7500 0.7500 Gd
0.2500 0.2500 0.2500 Ho
```

**Symmetry**: F-43m

Density functional theory data (PBE) for a geometry-optimized ErTm2Fe6Co3 structure.

Cell and atoms, written as POSCAR:
```
ErTm2Fe6Co3
1.0
2.5038 1.4456 8.0598
-2.5038 1.4456 8.0598
0.0000 -2.8912 8.0598
Er Tm Fe Co
1 2 6 3
Direct
0.0000 0.0000 0.0000 Er
0.1422 0.1422 0.1422 Tm
0.8578 0.8578 0.8578 Tm
0.0813 0.5826 0.5826 Fe
0.4174 0.4174 0.9187 Fe
0.4174 0.9187 0.4174 Fe
0.5826 0.0813 0.5826 Fe
0.5826 0.5826 0.0813 Fe
0.9187 0.4174 0.4174 Fe
0.3327 0.3327 0.3327 Co
0.5000 0.5000 0.5000 Co
0.6673 0.6673 0.6673 Co
```

**Symmetry**: R-3m
**Formation energy**: -0.16 eV/atom

Values for electronic total energy, eV per atom, ordered as above
-5.055 -5.454 -3.195 -7.212